Th2Sc7Tc2, relaxed, DFT PBE; volume = 23.68 A^3/atom; SG = No. 12; total magnetization = 0.00 μB/f.u.; energy relative to the elements = 4 meV per atom
1.0
6.2012 -4.5566 0.0000
6.2012 4.5566 0.0000
-2.0200 0.0000 4.6100
Th Sc Tc
2 7 2
Direct
0.1480 0.1480 0.1526 Th
0.8520 0.8520 0.8474 Th
0.0859 0.6266 0.3538 Sc
0.3575 0.3575 0.8580 Sc
0.3734 0.9141 0.6462 Sc
0.5000 0.5000 0.5000 Sc
0.6266 0.0859 0.3538 Sc
0.6425 0.6425 0.1420 Sc
0.9141 0.3734 0.6462 Sc
0.2538 0.7462 0.0000 Tc
0.7462 0.2538 0.0000 Tc

=====

ThScTc, relaxed, DFT PBE; volume = 25.02 A^3/atom; SG = No. 216; total magnetization = 0.00 μB/f.u.; polymorph energy (0 for the lowest one) = 28.7 kJ/mol of formula units; energy relative to the elements = -61 meV per atom
1.0
6.6960 0.0000 0.0000
0.0000 6.6960 0.0000
0.0000 0.0000 6.6960
Th Sc Tc
4 4 4
Direct
0.0000 0.0000 0.0000 Th
0.0000 0.5000 0.5000 Th
0.5000 0.0000 0.5000 Th
0.5000 0.5000 0.0000 Th
0.0000 0.0000 0.5000 Sc
0.0000 0.5000 0.0000 Sc
0.5000 0.0000 0.0000 Sc
0.5000 0.5000 0.5000 Sc
0.2500 0.2500 0.7500 Tc
0.2500 0.7500 0.2500 Tc
0.7500 0.2500 0.2500 Tc
0.7500 0.7500 0.7500 Tc

=====

Th3Sc7Tc4, relaxed, DFT PBE; volume = 22.85 A^3/atom; SG = No. 12; total magnetization = 0.00 μB/f.u.; energy relative to the elements = -115 meV per atom
1.0
8.5551 -2.0029 0.0000
8.5551 2.0029 0.0000
-6.0926 0.0000 9.3356
Th Sc Tc
3 7 4
Direct
0.0000 0.0000 0.0000 Th
0.2956 0.2956 0.2818 Th
0.7044 0.7044 0.7182 Th
0.0000 0.0000 0.5000 Sc
0.1660 0.1660 0.4268 Sc
0.3246 0.3246 0.9967 Sc
0.4924 0.4924 0.7254 Sc
0.5076 0.5076 0.2746 Sc
0.6754 0.6754 0.0033 Sc
0.8340 0.8340 0.5732 Sc
0.1180 0.1180 0.8020 Tc
0.3366 0.3366 0.7458 Tc
0.6634 0.6634 0.2542 Tc
0.8820 0.8820 0.1980 Tc

=====

ThSc3Tc2, relaxed, DFT PBE; volume = 21.44 A^3/atom; SG = No. 12; total magnetization = 0.00 μB/f.u.; energy relative to the elements = -69 meV per atom
1.0
9.4624 -1.7439 0.0000
9.4624 1.7439 0.0000
-3.2200 0.0000 11.6935
Th Sc Tc
3 9 6
Direct
0.0000 0.0000 0.0000 Th
0.1398 0.1398 0.7005 Th
0.8602 0.8602 0.2995 Th
0.0474 0.0474 0.3251 Sc
0.2254 0.2254 0.3921 Sc
0.3242 0.3242 0.0257 Sc
0.3706 0.3706 0.8068 Sc
0.5000 0.5000 0.5000 Sc
0.6294 0.6294 0.1932 Sc
0.6758 0.6758 0.9743 Sc
0.7746 0.7746 0.6079 Sc
0.9526 0.9526 0.6749 Sc
0.2343 0.2343 0.1670 Tc
0.3627 0.3627 0.5160 Tc
0.4641 0.4641 0.1591 Tc
0.5359 0.5359 0.8409 Tc
0.6373 0.6373 0.4840 Tc
0.7657 0.7657 0.8330 Tc

=====

Th2Sc8Tc, relaxed, DFT PBE; volume = 24.75 A^3/atom; SG = No. 12; total magnetization = 0.00 μB/f.u.; energy relative to the elements = -22 meV per atom
1.0
8.3233 -2.5414 0.0000
8.3233 2.5414 0.0000
-1.0779 0.0000 6.4345
Th Sc Tc
2 8 1
Direct
0.2118 0.2118 0.1464 Th
0.7882 0.7882 0.8536 Th
0.0238 0.0238 0.2702 Sc
0.1641 0.1641 0.6527 Sc
0.3589 0.3589 0.6070 Sc
0.4120 0.4120 0.1164 Sc
0.5880 0.5880 0.8836 Sc
0.6411 0.6411 0.3930 Sc
0.8359 0.8359 0.3473 Sc
0.9762 0.9762 0.7298 Sc
0.5000 0.5000 0.5000 Tc

=====

ThScTc, relaxed, DFT PBE; volume = 23.61 A^3/atom; SG = No. 107; total magnetization = 0.00 μB/f.u.; polymorph energy (0 for the lowest one) = 13.9 kJ/mol of formula units; energy relative to the elements = -112 meV per atom
1.0
3.3986 0.0000 0.0000
0.0000 3.3986 0.0000
0.0000 0.0000 12.2649
Th Sc Tc
2 2 2
Direct
0.0000 0.0000 0.0000 Th
0.5000 0.5000 0.5000 Th
0.0000 0.0000 0.2669 Sc
0.5000 0.5000 0.7669 Sc
0.0000 0.0000 0.6414 Tc
0.5000 0.5000 0.1414 Tc

=====

ThSc4Tc2, relaxed, DFT PBE; volume = 22.26 A^3/atom; SG = No. 11; total magnetization = 0.00 μB/f.u.; energy relative to the elements = -160 meV per atom
1.0
7.3431 0.0000 0.0000
0.0000 5.9127 0.0000
-2.8451 0.0000 7.1769
Th Sc Tc
2 8 4
Direct
0.0116 0.2500 0.1592 Th
0.9884 0.7500 0.8408 Th
0.2393 0.9996 0.5803 Sc
0.2393 0.5004 0.5803 Sc
0.3362 0.7500 0.2637 Sc
0.4000 0.2500 0.0274 Sc
0.6000 0.7500 0.9726 Sc
0.6638 0.2500 0.7363 Sc
0.7607 0.0004 0.4197 Sc
0.7607 0.4996 0.4197 Sc
0.0390 0.2500 0.7655 Tc
0.4243 0.2500 0.3789 Tc
0.5757 0.7500 0.6211 Tc
0.9610 0.7500 0.2345 Tc

=====

ThScTiTc, relaxed, DFT PBE; volume = 20.44 A^3/atom; SG = No. 216; total magnetization = 1.03 μB/f.u.; energy relative to the elements = -15 meV per atom
1.0
6.8892 0.0000 0.0000
0.0000 6.8892 0.0000
0.0000 0.0000 6.8892
Th Sc Ti Tc
4 4 4 4
Direct
0.0000 0.0000 0.0000 Th
0.0000 0.5000 0.5000 Th
0.5000 0.0000 0.5000 Th
0.5000 0.5000 0.0000 Th
0.0000 0.0000 0.5000 Sc
0.0000 0.5000 0.0000 Sc
0.5000 0.0000 0.0000 Sc
0.5000 0.5000 0.5000 Sc
0.2500 0.2500 0.7500 Ti
0.2500 0.7500 0.2500 Ti
0.7500 0.2500 0.2500 Ti
0.7500 0.7500 0.7500 Ti
0.2500 0.2500 0.2500 Tc
0.2500 0.7500 0.7500 Tc
0.7500 0.2500 0.7500 Tc
0.7500 0.7500 0.2500 Tc

=====

ThScTlTc, relaxed, DFT PBE; volume = 23.45 A^3/atom; SG = No. 99; total magnetization = 0.00 μB/f.u.; polymorph energy (0 for the lowest one) = 0.0 kJ/mol of formula units; energy relative to the elements = -228 meV per atom
1.0
3.3819 0.0000 0.0000
0.0000 3.3819 0.0000
0.0000 0.0000 8.2029
Th Sc Tl Tc
1 1 1 1
Direct
0.0000 0.0000 0.0000 Th
0.0000 0.0000 0.5967 Sc
0.5000 0.5000 0.3292 Tl
0.5000 0.5000 0.7792 Tc

=====

Th3Sc3Tl2Tc, relaxed, DFT PBE; volume = 26.53 A^3/atom; SG = No. 189; total magnetization = 0.00 μB/f.u.; energy relative to the elements = -164 meV per atom
1.0
8.6420 0.0000 0.0000
-4.3210 7.4842 0.0000
0.0000 0.0000 3.6914
Th Sc Tl Tc
3 3 2 1
Direct
0.0000 0.7477 0.0000 Th
0.2523 0.2523 0.0000 Th
0.7477 0.0000 0.0000 Th
0.0000 0.3922 0.5000 Sc
0.3922 0.0000 0.5000 Sc
0.6078 0.6078 0.5000 Sc
0.3333 0.6667 0.0000 Tl
0.6667 0.3333 0.0000 Tl
0.0000 0.0000 0.5000 Tc

=====

ThScTlTc, relaxed, DFT PBE; volume = 23.28 A^3/atom; SG = No. 216; total magnetization = 0.00 μB/f.u.; polymorph energy (0 for the lowest one) = 88.9 kJ/mol of formula units; energy relative to the elements = 2 meV per atom
1.0
7.1950 0.0000 0.0000
0.0000 7.1950 0.0000
0.0000 0.0000 7.1950
Th Sc Tl Tc
4 4 4 4
Direct
0.0000 0.0000 0.0000 Th
0.0000 0.5000 0.5000 Th
0.5000 0.0000 0.5000 Th
0.5000 0.5000 0.0000 Th
0.0000 0.0000 0.5000 Sc
0.0000 0.5000 0.0000 Sc
0.5000 0.0000 0.0000 Sc
0.5000 0.5000 0.5000 Sc
0.2500 0.2500 0.2500 Tl
0.2500 0.7500 0.7500 Tl
0.7500 0.2500 0.7500 Tl
0.7500 0.7500 0.2500 Tl
0.2500 0.2500 0.7500 Tc
0.2500 0.7500 0.2500 Tc
0.7500 0.2500 0.2500 Tc
0.7500 0.7500 0.7500 Tc

=====

ThScVTc, relaxed, DFT PBE; volume = 20.19 A^3/atom; SG = No. 216; total magnetization = 2.45 μB/f.u.; energy relative to the elements = 39 meV per atom
1.0
6.8611 0.0000 0.0000
0.0000 6.8611 0.0000
0.0000 0.0000 6.8611
Th Sc V Tc
4 4 4 4
Direct
0.0000 0.0000 0.0000 Th
0.0000 0.5000 0.5000 Th
0.5000 0.0000 0.5000 Th
0.5000 0.5000 0.0000 Th
0.0000 0.0000 0.5000 Sc
0.0000 0.5000 0.0000 Sc
0.5000 0.0000 0.0000 Sc
0.5000 0.5000 0.5000 Sc
0.2500 0.2500 0.7500 V
0.2500 0.7500 0.2500 V
0.7500 0.2500 0.2500 V
0.7500 0.7500 0.7500 V
0.2500 0.2500 0.2500 Tc
0.2500 0.7500 0.7500 Tc
0.7500 0.2500 0.7500 Tc
0.7500 0.7500 0.2500 Tc

=====

ThZrScTc, relaxed, DFT PBE; volume = 21.68 A^3/atom; SG = No. 216; total magnetization = 0.00 μB/f.u.; energy relative to the elements = 43 meV per atom
1.0
7.0262 0.0000 0.0000
0.0000 7.0262 0.0000
0.0000 0.0000 7.0262
Th Zr Sc Tc
4 4 4 4
Direct
0.0000 0.0000 0.0000 Th
0.0000 0.5000 0.5000 Th
0.5000 0.0000 0.5000 Th
0.5000 0.5000 0.0000 Th
0.2500 0.2500 0.7500 Zr
0.2500 0.7500 0.2500 Zr
0.7500 0.2500 0.2500 Zr
0.7500 0.7500 0.7500 Zr
0.0000 0.0000 0.5000 Sc
0.0000 0.5000 0.0000 Sc
0.5000 0.0000 0.0000 Sc
0.5000 0.5000 0.5000 Sc
0.2500 0.2500 0.2500 Tc
0.2500 0.7500 0.7500 Tc
0.7500 0.2500 0.7500 Tc
0.7500 0.7500 0.2500 Tc

=====

ScTiTc, relaxed, DFT PBE; volume = 19.16 A^3/atom; SG = No. 139; total magnetization = 0.00 μB/f.u.; polymorph energy (0 for the lowest one) = 11.8 kJ/mol of formula units; energy relative to the elements = -237 meV per atom
1.0
3.1821 0.0000 0.0000
0.0000 3.1821 0.0000
0.0000 0.0000 22.7086
Sc Ti Tc
4 4 4
Direct
0.0000 0.0000 0.0760 Sc
0.0000 0.0000 0.9240 Sc
0.5000 0.5000 0.4240 Sc
0.5000 0.5000 0.5760 Sc
0.0000 0.0000 0.2083 Ti
0.0000 0.0000 0.7917 Ti
0.5000 0.5000 0.2917 Ti
0.5000 0.5000 0.7083 Ti
0.0000 0.0000 0.3501 Tc
0.0000 0.0000 0.6499 Tc
0.5000 0.5000 0.1499 Tc
0.5000 0.5000 0.8501 Tc

=====

Sc2TiTc, relaxed, DFT PBE; volume = 19.08 A^3/atom; SG = No. 123; total magnetization = 1.20 μB/f.u.; polymorph energy (0 for the lowest one) = 0.0 kJ/mol of formula units; energy relative to the elements = 20 meV per atom
1.0
3.2597 0.0000 0.0000
0.0000 3.2597 0.0000
0.0000 0.0000 7.1839
Sc Ti Tc
2 1 1
Direct
0.0000 0.0000 0.2139 Sc
0.0000 0.0000 0.7861 Sc
0.5000 0.5000 0.5000 Ti
0.5000 0.5000 0.0000 Tc

=====

Sc2TiTc, relaxed, DFT PBE; volume = 19.90 A^3/atom; SG = No. 166; total magnetization = 0.00 μB/f.u.; polymorph energy (0 for the lowest one) = 92.9 kJ/mol of formula units; energy relative to the elements = 261 meV per atom
1.0
3.0671 0.0000 0.0000
-1.5336 2.6562 0.0000
0.0000 0.0000 29.3145
Sc Ti Tc
6 3 3
Direct
0.0000 0.0000 0.0983 Sc
0.0000 0.0000 0.9017 Sc
0.3333 0.6667 0.5683 Sc
0.3333 0.6667 0.7650 Sc
0.6667 0.3333 0.2350 Sc
0.6667 0.3333 0.4317 Sc
0.0000 0.0000 0.0000 Ti
0.3333 0.6667 0.6667 Ti
0.6667 0.3333 0.3333 Ti
0.0000 0.0000 0.5000 Tc
0.3333 0.6667 0.1667 Tc
0.6667 0.3333 0.8333 Tc

=====

ScTiTc, relaxed, DFT PBE; volume = 17.98 A^3/atom; SG = No. 107; total magnetization = 0.00 μB/f.u.; polymorph energy (0 for the lowest one) = 0.0 kJ/mol of formula units; energy relative to the elements = -277 meV per atom
1.0
3.2301 0.0000 0.0000
0.0000 3.2301 0.0000
0.0000 0.0000 10.3388
Sc Ti Tc
2 2 2
Direct
0.0000 0.0000 0.0000 Sc
0.5000 0.5000 0.5000 Sc
0.0000 0.0000 0.7140 Ti
0.5000 0.5000 0.2140 Ti
0.0000 0.0000 0.3347 Tc
0.5000 0.5000 0.8347 Tc

=====

Sc2Ti2Tc, relaxed, DFT PBE; volume = 19.52 A^3/atom; SG = No. 127; total magnetization = 0.00 μB/f.u.; energy relative to the elements = -40 meV per atom
1.0
6.3343 0.0000 0.0000
0.0000 6.3343 0.0000
0.0000 0.0000 4.8643
Sc Ti Tc
4 4 2
Direct
0.1726 0.3274 0.0000 Sc
0.3274 0.8274 0.0000 Sc
0.6726 0.1726 0.0000 Sc
0.8274 0.6726 0.0000 Sc
0.1474 0.6474 0.5000 Ti
0.3526 0.1474 0.5000 Ti
0.6474 0.8526 0.5000 Ti
0.8526 0.3526 0.5000 Ti
0.0000 0.0000 0.5000 Tc
0.5000 0.5000 0.5000 Tc

=====

ScTiTc3, relaxed, DFT PBE; volume = 18.78 A^3/atom; SG = No. 221; total magnetization = 0.81 μB/f.u.; polymorph energy (0 for the lowest one) = 0.0 kJ/mol of formula units; energy relative to the elements = 844 meV per atom
1.0
4.5454 0.0000 0.0000
0.0000 4.5454 0.0000
0.0000 0.0000 4.5454
Sc Ti Tc
1 1 3
Direct
0.0000 0.0000 0.0000 Sc
0.5000 0.5000 0.5000 Ti
0.0000 0.5000 0.5000 Tc
0.5000 0.0000 0.5000 Tc
0.5000 0.5000 0.0000 Tc

=====

Sc3TiTc, relaxed, DFT PBE; volume = 21.95 A^3/atom; SG = No. 221; total magnetization = 2.16 μB/f.u.; polymorph energy (0 for the lowest one) = 328.9 kJ/mol of formula units; energy relative to the elements = 1077 meV per atom
1.0
4.7878 0.0000 0.0000
0.0000 4.7878 0.0000
0.0000 0.0000 4.7878
Sc Ti Tc
3 1 1
Direct
0.0000 0.0000 0.5000 Sc
0.0000 0.5000 0.0000 Sc
0.5000 0.0000 0.0000 Sc
0.0000 0.0000 0.0000 Ti
0.5000 0.5000 0.5000 Tc

=====

Sc2TiTc, relaxed, DFT PBE; volume = 18.49 A^3/atom; SG = No. 225; total magnetization = 0.00 μB/f.u.; polymorph energy (0 for the lowest one) = 23.1 kJ/mol of formula units; energy relative to the elements = 80 meV per atom
1.0
6.6630 0.0000 0.0000
0.0000 6.6630 0.0000
0.0000 0.0000 6.6630
Sc Ti Tc
8 4 4
Direct
0.2500 0.2500 0.2500 Sc
0.2500 0.2500 0.7500 Sc
0.2500 0.7500 0.2500 Sc
0.2500 0.7500 0.7500 Sc
0.7500 0.2500 0.2500 Sc
0.7500 0.2500 0.7500 Sc
0.7500 0.7500 0.2500 Sc
0.7500 0.7500 0.7500 Sc
0.0000 0.0000 0.0000 Ti
0.0000 0.5000 0.5000 Ti
0.5000 0.0000 0.5000 Ti
0.5000 0.5000 0.0000 Ti
0.0000 0.0000 0.5000 Tc
0.0000 0.5000 0.0000 Tc
0.5000 0.0000 0.0000 Tc
0.5000 0.5000 0.5000 Tc

=====

Sc3TiTc, relaxed, DFT PBE; volume = 24.35 A^3/atom; SG = No. 221; total magnetization = 2.15 μB/f.u.; polymorph energy (0 for the lowest one) = 0.0 kJ/mol of formula units; energy relative to the elements = 395 meV per atom
1.0
4.9566 0.0000 0.0000
0.0000 4.9566 0.0000
0.0000 0.0000 4.9566
Sc Ti Tc
3 1 1
Direct
0.0000 0.0000 0.5000 Sc
0.0000 0.5000 0.0000 Sc
0.5000 0.0000 0.0000 Sc
0.5000 0.5000 0.5000 Ti
0.0000 0.0000 0.0000 Tc

=====

ScTi2Tc2, relaxed, DFT PBE; volume = 17.06 A^3/atom; SG = No. 65; total magnetization = 0.00 μB/f.u.; polymorph energy (0 for the lowest one) = 0.0 kJ/mol of formula units; energy relative to the elements = -183 meV per atom
1.0
3.2729 0.0000 0.0000
0.0000 16.6008 0.0000
0.0000 0.0000 3.1397
Sc Ti Tc
2 4 4
Direct
0.0000 0.0000 0.0000 Sc
0.5000 0.5000 0.0000 Sc
0.0000 0.1815 0.0000 Ti
0.0000 0.8185 0.0000 Ti
0.5000 0.3185 0.0000 Ti
0.5000 0.6815 0.0000 Ti
0.0000 0.3927 0.5000 Tc
0.0000 0.6073 0.5000 Tc
0.5000 0.1073 0.5000 Tc
0.5000 0.8927 0.5000 Tc

=====

ScTiTc4, relaxed, DFT PBE; volume = 16.52 A^3/atom; SG = No. 216; total magnetization = 0.00 μB/f.u.; energy relative to the elements = -198 meV per atom
1.0
0.0000 3.6731 3.6731
3.6731 0.0000 3.6731
3.6731 3.6731 0.0000
Sc Ti Tc
1 1 4
Direct
0.0000 0.0000 0.0000 Sc
0.2500 0.2500 0.2500 Ti
0.1258 0.6247 0.6247 Tc
0.6247 0.1258 0.6247 Tc
0.6247 0.6247 0.1258 Tc
0.6247 0.6247 0.6247 Tc

=====

ScTiTc, relaxed, DFT PBE; volume = 19.75 A^3/atom; SG = No. 44; total magnetization = 0.00 μB/f.u.; polymorph energy (0 for the lowest one) = 108.0 kJ/mol of formula units; energy relative to the elements = 96 meV per atom
1.0
4.3652 0.0000 0.0000
0.0000 4.3899 0.0000
0.0000 0.0000 6.1844
Sc Ti Tc
2 2 2
Direct
0.0000 0.0000 0.0000 Sc
0.5000 0.5000 0.5000 Sc
0.0000 0.0000 0.5004 Ti
0.5000 0.5000 0.0004 Ti
0.0000 0.5000 0.7507 Tc
0.5000 0.0000 0.2507 Tc

=====

ScTi3Tc, relaxed, DFT PBE; volume = 21.11 A^3/atom; SG = No. 221; total magnetization = 0.00 μB/f.u.; polymorph energy (0 for the lowest one) = 0.0 kJ/mol of formula units; energy relative to the elements = 335 meV per atom
1.0
4.7262 0.0000 0.0000
0.0000 4.7262 0.0000
0.0000 0.0000 4.7262
Sc Ti Tc
1 3 1
Direct
0.0000 0.0000 0.0000 Sc
0.0000 0.5000 0.5000 Ti
0.5000 0.0000 0.5000 Ti
0.5000 0.5000 0.0000 Ti
0.5000 0.5000 0.5000 Tc

=====

Sc2TiTc, relaxed, DFT PBE; volume = 19.81 A^3/atom; SG = No. 122; total magnetization = 1.13 μB/f.u.; polymorph energy (0 for the lowest one) = 142.3 kJ/mol of formula units; energy relative to the elements = 389 meV per atom
1.0
7.4781 0.0000 0.0000
0.0000 7.4781 0.0000
0.0000 0.0000 5.6680
Sc Ti Tc
8 4 4
Direct
0.2170 0.2500 0.1250 Sc
0.2500 0.7170 0.3750 Sc
0.2500 0.7830 0.8750 Sc
0.2830 0.2500 0.6250 Sc
0.7170 0.7500 0.6250 Sc
0.7500 0.2170 0.8750 Sc
0.7500 0.2830 0.3750 Sc
0.7830 0.7500 0.1250 Sc
0.0000 0.0000 0.5000 Ti
0.0000 0.5000 0.7500 Ti
0.5000 0.0000 0.2500 Ti
0.5000 0.5000 0.0000 Ti
0.0000 0.0000 0.0000 Tc
0.0000 0.5000 0.2500 Tc
0.5000 0.0000 0.7500 Tc
0.5000 0.5000 0.5000 Tc